A relaxed structure of TiNi2F, computed with GGA+U.

```
TiNi2F
1.0
0.6344 -3.6139 1.7748
-1.3136 -0.6623 3.8011
-3.1320 -2.5224 0.6634
Ni F Ti
2 1 1
direct
0.2500 0.2500 0.2500
0.7500 0.7500 0.7500
0.0000 0.0000 0.0000
0.5000 0.5000 0.5000
```

Output
Crystal system: cubic
Calculated volume: 47.9 Å³/f.u.
Space-group type: No. 225
E: -12.812 eV/f.u.